Computed, not measured: crystalline HgMo2Ru at its relaxed geometry at the PBE level of DFT.

Calculated values
Symmetry   No. 216

a b c (Å): 4.530 4.530 4.530
angles (deg): 60.00 60.00 60.00
Element x y z (fractional)
Ru 0.750 0.750 0.750
Mo 0.250 0.250 0.250
Mo 0.000 0.000 0.000
Hg 0.500 0.500 0.500



Computed, not measured: crystalline Ho6MgZn at its relaxed geometry at the PBE level of DFT.

Calculated values
Symmetry   No. 2

a b c (Å): 8.876 8.369 6.095
angles (deg): 46.67 43.25 57.90
Element x y z (fractional)
Ho 0.243 0.025 0.284
Ho 0.757 0.975 0.716
Ho 0.446 0.757 0.822
Ho 0.554 0.243 0.178
Ho 0.025 0.447 0.772
Ho 0.975 0.553 0.228
Zn 0.000 0.000 0.000
Mg 0.500 0.500 0.500



Computed, not measured: crystalline Zn4IrCl at its relaxed geometry at the PBE level of DFT.

Calculated values
Symmetry   No. 216
Raw formation energy   1.77 eV per formula unit

a b c (Å): 5.114 5.114 5.114
angles (deg): 60.00 60.00 60.00
Element x y z (fractional)
Zn 0.878 0.374 0.374
Zn 0.374 0.374 0.374
Zn 0.374 0.878 0.374
Zn 0.374 0.374 0.878
Ir 0.000 0.000 0.000
Cl 0.750 0.750 0.750



Computed, not measured: crystalline Ac2AlPd7 at its relaxed geometry at the PBE level of DFT.

Calculated values
Symmetry   No. 115

a b c (Å): 4.130 4.130 12.175
angles (deg): 90.00 90.00 90.00
Element x y z (fractional)
Ac 0.000 0.500 0.268
Ac 0.500 0.000 0.732
Pd 0.500 0.500 0.500
Pd 0.500 0.000 0.136
Pd 0.000 0.000 0.500
Pd 0.000 0.500 0.647
Pd 0.000 0.500 0.864
Pd 0.000 0.000 0.000
Pd 0.500 0.000 0.353
Al 0.500 0.500 0.000



Computed, not measured: crystalline AlBiAu3 at its relaxed geometry at the PBE level of DFT.

Calculated values
Symmetry   No. 221
Energy above the lowest structure with this stoichiometry   3.866 eV/f.u.

a b c (Å): 5.422 5.422 5.422
angles (deg): 90.00 90.00 90.00
Element x y z (fractional)
Al 0.500 0.500 0.500
Au 0.500 0.000 0.000
Au 0.000 0.500 0.000
Au 0.000 0.000 0.500
Bi 0.000 0.000 0.000



Computed, not measured: crystalline HfZrSi2 at its relaxed geometry at the PBE level of DFT.

Calculated values
Symmetry   No. 225
Energy above the lowest structure with this stoichiometry   2.336 eV/f.u.
Raw formation energy   -1.18 eV per formula unit

a b c (Å): 4.670 4.670 4.670
angles (deg): 60.00 60.00 60.00
Element x y z (fractional)
Zr 0.000 0.000 0.000
Hf 0.500 0.500 0.500
Si 0.750 0.750 0.750
Si 0.250 0.250 0.250



Computed, not measured: crystalline TeRhW2 at its relaxed geometry at the PBE level of DFT.

Calculated values
Symmetry   No. 122
Raw formation energy   5.12 eV per formula unit

a b c (Å): 5.899 5.899 7.122
angles (deg): 65.53 65.53 90.00
Element x y z (fractional)
Rh 0.250 0.750 0.500
Rh 0.500 0.500 0.000
W 0.586 0.125 0.250
W 0.375 0.414 0.750
W 0.875 0.836 0.750
W 0.164 0.625 0.250
Te 0.750 0.250 0.500
Te 0.000 0.000 0.000



Computed, not measured: crystalline SrAgTe2 at its relaxed geometry at the PBE level of DFT.

Calculated values
Symmetry   No. 8
Raw formation energy   -3.00 eV per formula unit

a b c (Å): 6.634 6.634 4.640
angles (deg): 77.49 77.49 41.79
Element x y z (fractional)
Ag 0.561 0.561 0.340
Te 0.957 0.957 0.262
Te 0.707 0.707 0.728
Sr 0.275 0.275 0.170



Per-record total DFT energy (no corrections), eV per cell: -29.13 -30.12 -14.04 -54.56 -14.25 -30.52 -62.57 -13.82